## Co3ReAs (GGA-PBE)

Data for an optimized crystal structure of Co3ReAs.

Calculated values
- Symmetry: Pm-3m (221)
- Raw total energy: -6.202 eV/atom
- Polymorph energy (0 for the lowest one): 315 meV/atom
- Calculated formation energy: 1.48 eV/atom
- Total magnetization: 0.04 μB/f.u.

Cell lengths 4.439, 4.439, 4.439 Å; angles 90.00, 90.00, 90.00 degrees
Element x y z (fractional)
Co1 0.000 0.000 0.500
Co2 0.000 0.500 0.000
Co3 0.500 0.000 0.000
Re1 0.000 0.000 0.000
As1 0.500 0.500 0.500

## Ho5ErIn4 (GGA-PBE)

Data for an optimized crystal structure of Ho5ErIn4.

Calculated values
- Symmetry: P4/mmm (123)
- Raw total energy: -4.209 eV/atom
- Calculated formation energy: -0.37 eV/atom
- Total magnetization: 0.00 μB/f.u.

Cell lengths 3.555, 3.555, 21.575 Å; angles 90.00, 90.00, 90.00 degrees
Element x y z (fractional)
Ho1 0.000 0.000 0.000
Ho2 0.000 0.000 0.194
Ho3 0.000 0.000 0.387
Ho4 0.000 0.000 0.613
Ho5 0.000 0.000 0.806
Er1 0.500 0.500 0.500
In1 0.500 0.500 0.097
In2 0.500 0.500 0.290
In3 0.500 0.500 0.710
In4 0.500 0.500 0.903